# 1
AcCeRu2, relaxed, DFT PBE; mass density = 10.4 g cm⁻³; total energy = -29.167 eV per cell; volume = 91 Å³/f.u.; crystal system = tetragonal
1.0
-1.066 -0.103 -3.324
3.241 -0.813 -1.014
-1.583 -7.218 0.732
Ru Ce Ac
2 1 1
Direct
0.000 0.000 0.794 Ru
0.000 0.000 0.206 Ru
0.500 0.500 0.000 Ce
0.500 0.500 0.500 Ac

# 2
AcCeRu, relaxed, DFT PBE; mass density = 8.8 g cm⁻³; total energy = -19.428 eV per cell; volume = 89 Å³/f.u.; crystal system = cubic
1.0
-2.593 -1.224 4.104
-0.547 -4.811 1.273
2.378 -1.813 4.015
Ac Ce Ru
1 1 1
Direct
0.000 0.000 0.000 Ac
0.500 0.500 0.500 Ce
0.250 0.250 0.250 Ru

# 3
AcCeRu, relaxed, DFT PBE; mass density = 8.6 g cm⁻³; total energy = -79.709 eV per cell; volume = 91 Å³/f.u.; crystal system = monoclinic
1.0
7.787 0.000 0.000
0.000 6.004 2.760
0.000 -0.109 7.714
Ce Ac Ru
4 4 4
Direct
0.361 0.297 0.944 Ce
0.139 0.297 0.444 Ce
0.861 0.703 0.556 Ce
0.639 0.703 0.056 Ce
0.347 0.789 0.418 Ac
0.653 0.211 0.582 Ac
0.847 0.211 0.082 Ac
0.153 0.789 0.918 Ac
0.896 0.640 0.242 Ru
0.604 0.640 0.742 Ru
0.396 0.360 0.258 Ru
0.104 0.360 0.758 Ru

# 4
AcCeRu, relaxed, DFT PBE; mass density = 8.5 g cm⁻³; total energy = -40.008 eV per cell; volume = 92 Å³/f.u.; crystal system = monoclinic
1.0
4.071 0.000 0.000
0.000 6.621 0.138
-2.035 -1.133 6.766
Ru Ac Ce
2 2 2
Direct
0.282 0.665 0.564 Ru
0.718 0.335 0.436 Ru
0.641 0.837 0.281 Ac
0.359 0.163 0.719 Ac
0.894 0.655 0.788 Ce
0.106 0.345 0.212 Ce